VASP calculation (GGA-PBEsol) on crystalline ScTa3C at its relaxed geometry.

The structure in POSCAR format:
```
ScTa3C
1.0
4.3367 0.0000 0.0000
0.0000 4.3367 0.0000
0.0000 0.0000 4.3367
Sc C Ta
1 1 3
direct
0.5000 0.5000 0.5000
0.0000 0.0000 0.0000
0.0000 0.5000 0.0000
0.0000 0.0000 0.5000
0.5000 0.0000 0.0000
```

As for the magnetization: 0.00 μB/atom. The value obtained for the volume is 16.31 Å³ per atom. For the formation energy, the calculation gives -0.140 eV per atom. For the total DFT energy (no corrections), the calculation gives -10.92 eV/atom. The value obtained for the density is 12.2 g cm⁻³.

VASP calculation (GGA-PBEsol) on crystalline Sc3TeC at its relaxed geometry.

The structure in POSCAR format:
```
Sc3TeC
1.0
4.4842 0.0000 0.0000
0.0000 4.4842 0.0000
0.0000 0.0000 4.4842
Sc C Te
3 1 1
direct
0.0000 0.5000 0.0000
0.0000 0.0000 0.5000
0.5000 0.0000 0.0000
0.0000 0.0000 0.0000
0.5000 0.5000 0.5000
```

As for the polymorph energy (0 for the lowest one): 0 meV per atom. As for the magnetization: 0.00 μB/atom. The value obtained for the volume is 18.03 Å³ per atom. Its formation energy (no corrections) is -0.727 eV per atom. For the total DFT energy (no corrections), the calculation gives -7.32 eV/atom. The value obtained for the density is 5.1 g cm⁻³.

VASP calculation (GGA-PBEsol) on crystalline Sc3TlC at its relaxed geometry.

The structure in POSCAR format:
```
Sc3TlC
1.0
-4.1095 -1.1273 1.4537
1.8281 -2.1057 3.5350
-0.2052 3.8167 2.3797
Sc Tl C
3 1 1
direct
0.0000 0.5000 0.5000
0.5000 0.5000 0.0000
0.5000 0.0000 0.5000
0.0000 0.0000 0.0000
0.5000 0.5000 0.5000
```

As for the polymorph energy (0 for the lowest one): 0 meV per atom. As for the magnetization: 0.00 μB/atom. The value obtained for the volume is 18.26 Å³ per atom. For the formation energy, the calculation gives -0.691 eV per atom. For the total DFT energy (no corrections), the calculation gives -7.11 eV/atom. The value obtained for the density is 6.4 g cm⁻³.

VASP calculation (GGA-PBEsol) on crystalline Sc3TlC at its relaxed geometry.

The structure in POSCAR format:
```
Sc3TlC
1.0
-3.8779 -2.7943 2.0471
2.7271 -0.5681 4.3906
-2.1358 4.3481 1.8892
Sc Tl C
3 1 1
direct
0.0000 0.5000 0.0000
0.0000 0.0000 0.5000
0.5000 0.0000 0.0000
0.0000 0.0000 0.0000
0.5000 0.5000 0.5000
```

As for the polymorph energy (0 for the lowest one): 2345 meV per atom. As for the magnetization: 0.00 μB/atom. The value obtained for the volume is 28.12 Å³ per atom. For the formation energy, the calculation gives 1.654 eV per atom. For the total DFT energy (no corrections), the calculation gives -4.76 eV/atom. The value obtained for the density is 4.1 g cm⁻³.

VASP calculation (GGA-PBEsol) on crystalline Sc2ZnC at its relaxed geometry.

The structure in POSCAR format:
```
Sc2ZnC
1.0
3.2324 0.0000 0.0000
1.6162 2.7994 0.0000
1.6162 0.9331 8.5429
Sc Zn C
2 1 1
direct
0.9176 0.9176 0.2473
0.0824 0.0824 0.7527
0.5000 0.5000 0.5000
0.0000 0.0000 0.0000
```

As for the magnetization: 0.00 μB/atom. The value obtained for the volume is 19.33 Å³ per atom. For the formation energy, the calculation gives 0.901 eV per atom. For the total DFT energy (no corrections), the calculation gives -5.21 eV/atom. The value obtained for the density is 3.6 g cm⁻³.

VASP calculation (GGA-PBEsol) on crystalline ZrSc2C2 at its relaxed geometry.

The structure in POSCAR format:
```
ZrSc2C2
1.0
-2.8722 2.1100 -2.1005
-2.6881 -0.5829 3.0901
4.1507 2.9946 1.4064
Sc C Zr
2 2 1
direct
0.3273 0.3273 0.6547
0.6727 0.6727 0.3453
0.2500 0.7500 0.5000
0.7500 0.2500 0.5000
0.0000 0.0000 0.0000
```

As for the magnetization: 0.10 μB/atom. The value obtained for the volume is 15.16 Å³ per atom. For the formation energy, the calculation gives 0.244 eV per atom. For the total DFT energy (no corrections), the calculation gives -8.07 eV/atom. The value obtained for the density is 4.5 g cm⁻³.

VASP calculation (GGA-PBEsol) on crystalline CSe at its relaxed geometry.

The structure in POSCAR format:
```
CSe
1.0
3.5753 0.0000 0.0000
1.7876 3.0963 0.0000
1.7876 1.0321 2.9192
C Se
1 1
direct
0.0000 0.0000 0.0000
0.2500 0.2500 0.2500
```

As for the polymorph energy (0 for the lowest one): 73 meV per atom. As for the magnetization: 0.00 μB/atom. The value obtained for the volume is 16.16 Å³ per atom. Its formation energy (no corrections) is 2.039 eV per atom. For the total DFT energy (no corrections), the calculation gives -4.71 eV/atom. The value obtained for the density is 4.7 g cm⁻³.

VASP calculation (GGA-PBEsol) on crystalline C4Se at its relaxed geometry.

The structure in POSCAR format:
```
C4Se
1.0
2.9587 0.0000 0.0000
0.0000 2.9587 0.0000
-1.4794 -1.4794 5.8633
C Se
4 1
direct
0.7500 0.2500 0.5000
0.2500 0.7500 0.5000
0.8070 0.8070 0.6139
0.1930 0.1930 0.3861
0.0000 0.0000 0.0000
```

As for the magnetization: 0.00 μB/atom. The value obtained for the volume is 10.27 Å³ per atom. Its formation energy (no corrections) is 1.802 eV per atom. For the total DFT energy (no corrections), the calculation gives -6.68 eV/atom. The value obtained for the density is 4.1 g cm⁻³.